# 1
Here is a relaxed structure of MnHIr3 from Alexandria via LeMat-Bulk. Energies are from GGA-PBE.

a = 3.906 Å, b = 3.906 Å, c = 3.906 Å
α = 90.00°, β = 90.00°, γ = 90.00°
Fractional coordinates of all 5 atoms:
H (0.000, 0.000, 0.000)
Ir (0.000, 0.500, 0.000)
Ir (0.000, 0.000, 0.500)
Ir (0.500, 0.000, 0.000)
Mn (0.500, 0.500, 0.500)

**N(E_F)**: 1.00 states/eV/atom
**Symmetry**: Pm-3m, No. 221
**Offset from the most stable computed form**: 0 meV per atom
**Spin magnetization**: 3.1 μB per cell


# 2
Here is a relaxed structure of AcPbF from Alexandria via LeMat-Bulk. Energies are from GGA-PBE.

a = 4.278 Å, b = 4.278 Å, c = 5.562 Å
α = 90.00°, β = 90.00°, γ = 120.00°
Fractional coordinates of all 3 atoms:
Pb (0.000, 0.000, 0.000)
Ac (0.667, 0.333, 0.500)
F (0.333, 0.667, 0.500)

**N(E_F)**: 0.41 states/eV/atom
**Symmetry**: P-6m2, No. 187
**Offset from the most stable computed form**: 96 meV per atom
**Spin magnetization**: 0.0 μB per cell
**Uncorrected formation energy**: -1.9301 eV/atom


# 3
Here is a relaxed structure of LaAl2GaCu4 from Alexandria via LeMat-Bulk. Energies are from GGA-PBE.

a = 4.188 Å, b = 4.188 Å, c = 9.213 Å
α = 76.86°, β = 76.86°, γ = 60.00°
Fractional coordinates of all 8 atoms:
La (0.000, 0.000, 0.000)
Al (0.758, 0.758, 0.726)
Al (0.242, 0.242, 0.274)
Ga (0.500, 0.500, 0.500)
Cu (0.408, 0.408, 0.776)
Cu (0.869, 0.869, 0.393)
Cu (0.131, 0.131, 0.607)
Cu (0.592, 0.592, 0.224)

**N(E_F)**: 0.44 states/eV/atom
**Calculated formation energy**: -0.2435 eV per atom
**Symmetry**: R-3m, No. 166
**Spin magnetization**: 0.0 μB per cell


no.,E_tot (eV per atom)
1,-7.801
2,-5.159
3,-4.221